VASP calculation (GGA-PBE) on LuCoReAs after structural relaxation.

Cell: 4.4400 4.4400 4.4400 Å, 60.00 60.00 60.00°
Sites, in units of the cell vectors:
Lu (0.0000, 0.0000, 0.0000)
Co (0.7500, 0.7500, 0.7500)
Re (0.2500, 0.2500, 0.2500)
As (0.5000, 0.5000, 0.5000)

Values from the calculation:
Distance to the lowest polymorph of the same formula: 0.000 eV/atom

---

VASP calculation (GGA-PBE) on LuScCoAs after structural relaxation.

Cell: 4.6134 4.6134 4.6134 Å, 60.00 60.00 60.00°
Sites, in units of the cell vectors:
Lu (0.0000, 0.0000, 0.0000)
Sc (0.2500, 0.2500, 0.2500)
Co (0.7500, 0.7500, 0.7500)
As (0.5000, 0.5000, 0.5000)

Values from the calculation:
Distance to the lowest polymorph of the same formula: 0.000 eV/atom

---

VASP calculation (GGA-PBE) on LuTaCoAs after structural relaxation.

Cell: 4.5420 4.5420 4.5420 Å, 60.00 60.00 60.00°
Sites, in units of the cell vectors:
Lu (0.0000, 0.0000, 0.0000)
Ta (0.2500, 0.2500, 0.2500)
Co (0.7500, 0.7500, 0.7500)
As (0.5000, 0.5000, 0.5000)

Values from the calculation:
Distance to the lowest polymorph of the same formula: 0.000 eV/atom

---

VASP calculation (GGA-PBE) on LuZnCoAs after structural relaxation.

Cell: 4.5165 4.5165 4.5165 Å, 60.00 60.00 60.00°
Sites, in units of the cell vectors:
Lu (0.0000, 0.0000, 0.0000)
Zn (0.2500, 0.2500, 0.2500)
Co (0.7500, 0.7500, 0.7500)
As (0.5000, 0.5000, 0.5000)

Values from the calculation:
Distance to the lowest polymorph of the same formula: 0.082 eV/atom

---

VASP calculation (GGA-PBE) on LuZnCoAs after structural relaxation.

Cell: 4.5383 4.5383 4.5383 Å, 60.00 60.00 60.00°
Sites, in units of the cell vectors:
Lu (0.0000, 0.0000, 0.0000)
Zn (0.7500, 0.7500, 0.7500)
Co (0.5000, 0.5000, 0.5000)
As (0.2500, 0.2500, 0.2500)

Values from the calculation:
Distance to the lowest polymorph of the same formula: 0.000 eV/atom

---

VASP calculation (GGA-PBE) on LuZrCoAs after structural relaxation.

Cell: 4.6292 4.6292 4.6292 Å, 60.00 60.00 60.00°
Sites, in units of the cell vectors:
Lu (0.0000, 0.0000, 0.0000)
Zr (0.2500, 0.2500, 0.2500)
Co (0.7500, 0.7500, 0.7500)
As (0.5000, 0.5000, 0.5000)

Values from the calculation:
Distance to the lowest polymorph of the same formula: 0.000 eV/atom

---

VASP calculation (GGA-PBE) on MgNbCoAs after structural relaxation.

Cell: 4.4583 4.4583 4.4583 Å, 60.00 60.00 60.00°
Sites, in units of the cell vectors:
Mg (0.0000, 0.0000, 0.0000)
Nb (0.7500, 0.7500, 0.7500)
Co (0.5000, 0.5000, 0.5000)
As (0.2500, 0.2500, 0.2500)

Values from the calculation:
Distance to the lowest polymorph of the same formula: 0.133 eV/atom

---

VASP calculation (GGA-PBE) on MgNbCoAs after structural relaxation.

Cell: 4.3967 4.3967 4.3967 Å, 60.00 60.00 60.00°
Sites, in units of the cell vectors:
Mg (0.0000, 0.0000, 0.0000)
Nb (0.2500, 0.2500, 0.2500)
Co (0.7500, 0.7500, 0.7500)
As (0.5000, 0.5000, 0.5000)

Values from the calculation:
Distance to the lowest polymorph of the same formula: 0.000 eV/atom

---

VASP calculation (GGA-PBE) on MgCo6As3P after structural relaxation.

Cell: 3.4424 6.7972 6.7972 Å, 59.83 90.00 90.00°
Sites, in units of the cell vectors:
Mg (0.0000, 0.0000, 0.0000)
Co (0.0000, 0.5429, 0.5429)
Co (0.0000, 0.5595, 0.9329)
Co (0.0000, 0.9329, 0.5595)
Co (0.5000, 0.1940, 0.6186)
Co (0.5000, 0.2096, 0.2096)
Co (0.5000, 0.6186, 0.1940)
As (0.0000, 0.3426, 0.3426)
As (0.5000, 0.3789, 0.8239)
As (0.5000, 0.8239, 0.3789)
P (0.5000, 0.8201, 0.8201)

Values from the calculation:
Distance to the lowest polymorph of the same formula: 0.030 eV/atom

---

VASP calculation (GGA-PBE) on MgCo6As3P after structural relaxation.

Cell: 6.7599 6.7599 3.4538 Å, 90.00 90.00 120.00°
Sites, in units of the cell vectors:
Mg (0.0000, 0.0000, 0.0000)
Co (0.2053, 0.4107, 0.5000)
Co (0.2053, 0.7947, 0.5000)
Co (0.5305, 0.0609, 0.0000)
Co (0.5305, 0.4695, 0.0000)
Co (0.5893, 0.7947, 0.5000)
Co (0.9391, 0.4695, 0.0000)
As (0.3702, 0.1851, 0.5000)
As (0.8149, 0.1851, 0.5000)
As (0.8149, 0.6298, 0.5000)
P (0.3333, 0.6667, 0.0000)

Values from the calculation:
Distance to the lowest polymorph of the same formula: 0.000 eV/atom

---

VASP calculation (GGA-PBE) on MgCoReAs after structural relaxation.

Cell: 4.2670 4.2670 4.2670 Å, 60.00 60.00 60.00°
Sites, in units of the cell vectors:
Mg (0.0000, 0.0000, 0.0000)
Co (0.7500, 0.7500, 0.7500)
Re (0.2500, 0.2500, 0.2500)
As (0.5000, 0.5000, 0.5000)

Values from the calculation:
Distance to the lowest polymorph of the same formula: 0.000 eV/atom

---

VASP calculation (GGA-PBE) on MgCoTcAs after structural relaxation.

Cell: 4.2535 4.2535 4.2535 Å, 60.00 60.00 60.00°
Sites, in units of the cell vectors:
Mg (0.0000, 0.0000, 0.0000)
Co (0.7500, 0.7500, 0.7500)
Tc (0.2500, 0.2500, 0.2500)
As (0.5000, 0.5000, 0.5000)

Values from the calculation:
Distance to the lowest polymorph of the same formula: 0.000 eV/atom

---

VASP calculation (GGA-PBE) on YMgCoAs after structural relaxation.

Cell: 4.6732 4.6732 4.6732 Å, 60.00 60.00 60.00°
Sites, in units of the cell vectors:
Y (0.0000, 0.0000, 0.0000)
Mg (0.2500, 0.2500, 0.2500)
Co (0.5000, 0.5000, 0.5000)
As (0.7500, 0.7500, 0.7500)

Values from the calculation:
Energy: -5.02 eV/atom

---

VASP calculation (GGA-PBE) on YMgCoAs after structural relaxation.

Cell: 4.6508 4.6508 4.6508 Å, 60.00 60.00 60.00°
Sites, in units of the cell vectors:
Y (0.0000, 0.0000, 0.0000)
Mg (0.2500, 0.2500, 0.2500)
Co (0.7500, 0.7500, 0.7500)
As (0.5000, 0.5000, 0.5000)

Values from the calculation:
Energy: -5.02 eV/atom

---

VASP calculation (GGA-PBE) on MgZnCoAs after structural relaxation.

Cell: 4.3549 4.3549 4.3549 Å, 60.00 60.00 60.00°
Sites, in units of the cell vectors:
Mg (0.0000, 0.0000, 0.0000)
Zn (0.7500, 0.7500, 0.7500)
Co (0.5000, 0.5000, 0.5000)
As (0.2500, 0.2500, 0.2500)

Values from the calculation:
Distance to the lowest polymorph of the same formula: 0.000 eV/atom

---

VASP calculation (GGA-PBE) on MgZnCoAs after structural relaxation.

Cell: 4.3752 4.3752 4.3752 Å, 60.00 60.00 60.00°
Sites, in units of the cell vectors:
Mg (0.0000, 0.0000, 0.0000)
Zn (0.2500, 0.2500, 0.2500)
Co (0.7500, 0.7500, 0.7500)
As (0.5000, 0.5000, 0.5000)

Values from the calculation:
Distance to the lowest polymorph of the same formula: 0.111 eV/atom

---

VASP calculation (GGA-PBE) on CoMo4AsN2 after structural relaxation.

Cell: 2.9184 2.9184 13.5936 Å, 90.00 90.00 120.00°
Sites, in units of the cell vectors:
Co (0.0000, 0.0000, 0.0000)
Mo (0.0000, 0.0000, 0.3500)
Mo (0.0000, 0.0000, 0.6500)
Mo (0.3333, 0.6667, 0.1514)
Mo (0.3333, 0.6667, 0.8486)
As (0.3333, 0.6667, 0.5000)
N (0.6667, 0.3333, 0.2499)
N (0.6667, 0.3333, 0.7501)

Values from the calculation:
Energy: -8.90 eV/atom

---

VASP calculation (GGA-PBE) on NbCoMoAs after structural relaxation.

Cell: 4.3763 4.3763 4.3763 Å, 60.00 60.00 60.00°
Sites, in units of the cell vectors:
Nb (0.0000, 0.0000, 0.0000)
Co (0.7500, 0.7500, 0.7500)
Mo (0.2500, 0.2500, 0.2500)
As (0.5000, 0.5000, 0.5000)

Values from the calculation:
Distance to the lowest polymorph of the same formula: 0.000 eV/atom

---

VASP calculation (GGA-PBE) on CoMoAsPd after structural relaxation.

Cell: 4.3128 4.3128 4.3128 Å, 60.00 60.00 60.00°
Sites, in units of the cell vectors:
Co (0.0000, 0.0000, 0.0000)
Mo (0.5000, 0.5000, 0.5000)
As (0.7500, 0.7500, 0.7500)
Pd (0.2500, 0.2500, 0.2500)

Values from the calculation:
Distance to the lowest polymorph of the same formula: 0.000 eV/atom

---

VASP calculation (GGA-PBE) on ScCoMoAs after structural relaxation.

Cell: 4.3558 4.3558 4.3558 Å, 60.00 60.00 60.00°
Sites, in units of the cell vectors:
Sc (0.0000, 0.0000, 0.0000)
Co (0.7500, 0.7500, 0.7500)
Mo (0.2500, 0.2500, 0.2500)
As (0.5000, 0.5000, 0.5000)

Values from the calculation:
Distance to the lowest polymorph of the same formula: 0.000 eV/atom

---

VASP calculation (GGA-PBE) on CoMoAsW after structural relaxation.

Cell: 4.3480 4.3480 4.3480 Å, 60.00 60.00 60.00°
Sites, in units of the cell vectors:
Co (0.0000, 0.0000, 0.0000)
Mo (0.5000, 0.5000, 0.5000)
As (0.7500, 0.7500, 0.7500)
W (0.2500, 0.2500, 0.2500)

Values from the calculation:
Distance to the lowest polymorph of the same formula: 0.000 eV/atom

---

VASP calculation (GGA-PBE) on YCoMoAs after structural relaxation.

Cell: 4.6492 4.6492 4.6492 Å, 60.00 60.00 60.00°
Sites, in units of the cell vectors:
Y (0.0000, 0.0000, 0.0000)
Co (0.5000, 0.5000, 0.5000)
Mo (0.7500, 0.7500, 0.7500)
As (0.2500, 0.2500, 0.2500)

Values from the calculation:
Distance to the lowest polymorph of the same formula: 0.210 eV/atom

---

VASP calculation (GGA-PBE) on YCoMoAs after structural relaxation.

Cell: 4.5053 4.5053 4.5053 Å, 60.00 60.00 60.00°
Sites, in units of the cell vectors:
Y (0.0000, 0.0000, 0.0000)
Co (0.7500, 0.7500, 0.7500)
Mo (0.2500, 0.2500, 0.2500)
As (0.5000, 0.5000, 0.5000)

Values from the calculation:
Distance to the lowest polymorph of the same formula: 0.000 eV/atom

---

VASP calculation (GGA-PBE) on ZnCoMoAs after structural relaxation.

Cell: 4.3557 4.3557 4.3557 Å, 60.00 60.00 60.00°
Sites, in units of the cell vectors:
Zn (0.0000, 0.0000, 0.0000)
Co (0.5000, 0.5000, 0.5000)
Mo (0.7500, 0.7500, 0.7500)
As (0.2500, 0.2500, 0.2500)

Values from the calculation:
Distance to the lowest polymorph of the same formula: 0.305 eV/atom

---

VASP calculation (GGA-PBE) on ZnCoMoAs after structural relaxation.

Cell: 4.2559 4.2559 4.2559 Å, 60.00 60.00 60.00°
Sites, in units of the cell vectors:
Zn (0.0000, 0.0000, 0.0000)
Co (0.7500, 0.7500, 0.7500)
Mo (0.2500, 0.2500, 0.2500)
As (0.5000, 0.5000, 0.5000)

Values from the calculation:
Distance to the lowest polymorph of the same formula: 0.000 eV/atom

---

VASP calculation (GGA-PBE) on ZrCoMoAs after structural relaxation.

Cell: 4.4183 4.4183 4.4183 Å, 60.00 60.00 60.00°
Sites, in units of the cell vectors:
Zr (0.0000, 0.0000, 0.0000)
Co (0.7500, 0.7500, 0.7500)
Mo (0.2500, 0.2500, 0.2500)
As (0.5000, 0.5000, 0.5000)

Values from the calculation:
Distance to the lowest polymorph of the same formula: 0.000 eV/atom

---

VASP calculation (GGA-PBE) on Nb4CoAsN2 after structural relaxation.

Cell: 3.2036 3.2036 12.3945 Å, 90.00 90.00 120.00°
Sites, in units of the cell vectors:
Nb (0.0000, 0.0000, 0.1520)
Nb (0.0000, 0.0000, 0.8480)
Nb (0.3333, 0.6667, 0.3445)
Nb (0.3333, 0.6667, 0.6555)
Co (0.3333, 0.6667, 0.0000)
As (0.0000, 0.0000, 0.5000)
N (0.6667, 0.3333, 0.2461)
N (0.6667, 0.3333, 0.7539)

Values from the calculation:
Energy: -9.13 eV/atom

---

VASP calculation (GGA-PBE) on Ta4CoAsN2 after structural relaxation.

Cell: 3.1707 3.1707 12.4163 Å, 90.00 90.00 120.00°
Sites, in units of the cell vectors:
Ta (0.0000, 0.0000, 0.1493)
Ta (0.0000, 0.0000, 0.8507)
Ta (0.6667, 0.3333, 0.3443)
Ta (0.6667, 0.3333, 0.6557)
Co (0.6667, 0.3333, 0.0000)
As (0.0000, 0.0000, 0.5000)
N (0.3333, 0.6667, 0.2453)
N (0.3333, 0.6667, 0.7547)

Values from the calculation:
Energy: -9.98 eV/atom

---

VASP calculation (GGA-PBE) on Y4CoAsN2 after structural relaxation.

Cell: 3.5609 3.5609 13.4194 Å, 90.00 90.00 120.00°
Sites, in units of the cell vectors:
Y (0.0000, 0.0000, 0.1418)
Y (0.0000, 0.0000, 0.8582)
Y (0.3333, 0.6667, 0.3457)
Y (0.3333, 0.6667, 0.6543)
Co (0.3333, 0.6667, 0.0000)
As (0.0000, 0.0000, 0.5000)
N (0.6667, 0.3333, 0.2509)
N (0.6667, 0.3333, 0.7491)

Values from the calculation:
Energy: -7.77 eV/atom

---

Spin magnetization for every record listed, in sequence, given in μB per formula unit: 0.001; 0.024; 0.147; 0.334; 0.009; 0.855; 1.027; 0.322; 0.342; 0.100; 0.004; 0.001; 0.878; 0.251; 0.000; 0.003; 0.928; 0.941; 0.905; 0.898; 1.755; 3.794; 0.954; 2.084; 0.516; 0.003; 0.464; 0.014; 0.140.